This record from Alexandria via LeMat-Bulk describes a relaxed Ga6IrPd crystal. The functional is PBE.

Cell and atoms, written as CIF:
```
data_Ga6IrPd
_space_group_name_H-M_alt 'R -3 m'
_space_group_IT_number 166
_space_group_name_Hall '-R 3 2"'
_cell_length_a 8.5175
_cell_length_b 8.5175
_cell_length_c 6.9714
_cell_angle_alpha 90.00
_cell_angle_beta 90.00
_cell_angle_gamma 120.00
loop_
_atom_site_label
_atom_site_fract_x
_atom_site_fract_y
_atom_site_fract_z
Ga1 0.0299 0.5149 0.3101
Ir1 0.0000 0.0000 0.5000
Pd1 0.0000 0.0000 0.0000
```

Calculated values
For the electronic total energy, the calculation gives -4.20 eV per atom. Its crystal system is trigonal. The value obtained for the calculated formation energy is -0.18 eV/atom. The value obtained for the magnetization is 0.00 μB/f.u.

=====

This record from Alexandria via LeMat-Bulk describes a relaxed HfTeO3 crystal. The functional is PBE.

Cell and atoms, written as CIF:
```
data_HfTeO3
_space_group_name_H-M_alt 'P m -3 m'
_space_group_IT_number 221
_space_group_name_Hall '-P 4 2 3'
_cell_length_a 4.1907
_cell_length_b 4.1907
_cell_length_c 4.1907
_cell_angle_alpha 90.00
_cell_angle_beta 90.00
_cell_angle_gamma 90.00
loop_
_atom_site_label
_atom_site_fract_x
_atom_site_fract_y
_atom_site_fract_z
Hf1 0.0000 0.0000 0.0000
Te1 0.5000 0.5000 0.5000
O1 0.0000 0.5000 0.5000
```

Calculated values
For the electronic total energy, the calculation gives -5.93 eV per atom. Its crystal system is cubic. The value obtained for the magnetization is 1.79 μB/f.u. Its formation energy without anion corrections is -333 meV per atom.

=====

This record from Alexandria via LeMat-Bulk describes a relaxed Th2PaCr2N6 crystal. The functional is PBE.

Cell and atoms, written as CIF:
```
data_Th2PaCr2N6
_space_group_name_H-M_alt 'R -3 m'
_space_group_IT_number 166
_space_group_name_Hall '-R 3 2"'
_cell_length_a 5.5227
_cell_length_b 5.5227
_cell_length_c 17.9187
_cell_angle_alpha 90.00
_cell_angle_beta 90.00
_cell_angle_gamma 120.00
loop_
_atom_site_label
_atom_site_fract_x
_atom_site_fract_y
_atom_site_fract_z
Th1 0.0000 0.0000 0.2114
Pa1 0.0000 0.0000 0.0000
Cr1 0.0000 0.0000 0.3988
N1 0.0112 0.5056 0.7644
```

Calculated values
For the electronic total energy, the calculation gives -9.46 eV per atom. Its crystal system is trigonal. The value obtained for the magnetization is 0.80 μB/f.u. Its formation energy without anion corrections is -956 meV per atom.

=====

This record from Alexandria via LeMat-Bulk describes a relaxed PaBi4Pb5 crystal. The functional is PBE.

Cell and atoms, written as CIF:
```
data_PaBi4Pb5
_space_group_name_H-M_alt 'C 1 2/m 1'
_space_group_IT_number 12
_cell_length_a 18.4970
_cell_length_b 4.3488
_cell_length_c 9.1297
_cell_angle_alpha 90.00
_cell_angle_beta 110.49
_cell_angle_gamma 90.00
loop_
_space_group_symop_operation_xyz
'x,y,z'
'-x,-y,-z'
'-x,y,-z'
'x,-y,z'
'x+1/2,y+1/2,z'
'-x+1/2,-y+1/2,-z'
'-x+1/2,y+1/2,-z'
'x+1/2,-y+1/2,z'
loop_
_atom_site_label
_atom_site_fract_x
_atom_site_fract_y
_atom_site_fract_z
Pa1 0.0000 0.0000 0.0000
Bi1 0.0459 0.5000 0.7987
Bi2 0.1457 0.0000 0.3133
Pb1 0.0000 0.0000 0.5000
Pb2 0.1689 0.5000 0.6043
Pb3 0.1995 0.5000 0.1003
```

Calculated values
For the electronic total energy, the calculation gives -4.28 eV per atom. Its crystal system is monoclinic. The value obtained for the calculated formation energy is 0.08 eV/atom. The value obtained for the magnetization is 0.13 μB/f.u.